[1]
Density functional theory data (GGA-PBE) for Th2Te5Pd after structural relaxation.

Cell lengths 6.2160, 7.7112, 13.8508 Å; angles 90.00, 90.00, 113.77 degrees
Closest atoms and distances in Å follow each position.
Sites, in units of the cell vectors:
Te1 0.6754 0.3508 0.9124  1 Pd 2.89, 2 Th 3.12
Te2 0.9470 0.8939 0.8803  1 Pd 2.71
Te3 0.2977 0.5954 0.7500  2 Pd 3.11, 2 Th 3.12
Te4 0.7023 0.4046 0.2500  2 Pd 3.11, 2 Th 3.12
Pd1 0.1966 0.3932 0.2500  4 Te 2.71-2.89
Th1 0.1590 0.3181 0.5746  6 Te 3.06-3.24
Th2 0.8410 0.6819 0.4254  6 Te 3.06-3.24
Te5 0.3246 0.6492 0.4124  1 Pd 2.89, 2 Th 3.12
Te6 0.0530 0.1061 0.3803  1 Pd 2.71
Te7 0.9470 0.8939 0.6197  1 Pd 2.71
Te8 0.0530 0.1061 0.1197  1 Pd 2.71
Th3 0.1590 0.3181 0.9254  6 Te 3.06-3.24
Pd2 0.8034 0.6068 0.7500  4 Te 2.71-2.89
Te9 0.6754 0.3508 0.5876  1 Pd 2.89, 2 Th 3.12
Te10 0.3246 0.6492 0.0876  1 Pd 2.89, 2 Th 3.12
Th4 0.8410 0.6819 0.0746  6 Te 3.06-3.24

## Properties
Its space-group type is Cmcm, No. 63. The density of states at the Fermi level comes out at 8.48 states/eV/cell. Its crystal system is orthorhombic. The value obtained for the formation energy from raw total energies is -757 meV/atom.

---

[2]
Density functional theory data (GGA-PBE) for CaScSbTe2 after structural relaxation.

Cell lengths 5.5751, 5.5751, 5.4805 Å; angles 90.00, 90.00, 90.00 degrees
Closest atoms and distances in Å follow each position.
Sites, in units of the cell vectors:
Sc1 0.0000 0.0000 0.0000  2 Sb 2.74, 4 Te 2.79
Te1 0.5000 0.0000 0.0000  2 Sc 2.79
Sb1 0.0000 0.0000 0.5000  2 Sc 2.74
Te2 0.0000 0.5000 0.0000  2 Sc 2.79
Ca1 0.5000 0.5000 0.5000  8 Te 3.91, 4 Sb 3.94

## Properties
Its space-group type is P4/mmm, No. 123. The density of states at the Fermi level comes out at 4.51 states/eV/cell. The distance to the lowest polymorph of the same formula comes out at 0 meV per atom. Its crystal system is tetragonal. The value obtained for the formation energy from raw total energies is -602 meV/atom.

---

[3]
Density functional theory data (GGA-PBE) for KBaTe2 after structural relaxation.

Cell lengths 7.1357, 7.1357, 7.1357 Å; angles 139.53, 139.40, 58.67 degrees
Closest atoms and distances in Å follow each position.
Sites, in units of the cell vectors:
Te1 0.9987 0.9987 0.0000  4 Ba 3.50
Ba1 0.5019 0.5019 0.0000  4 Te 3.50
Te2 0.7481 0.2481 0.5000  4 K 3.50
K1 0.2513 0.7513 0.5000  4 Te 3.50

## Properties
Its space-group type is Imm2, No. 44. The density of states at the Fermi level comes out at 3.02 states/eV/cell. Its crystal system is orthorhombic. The value obtained for the formation energy from raw total energies is -1051 meV/atom.